{
  "formula": "BaFeBP2",
  "functional": "meta-GGA SCAN",
  "state": "single point on PBEsol structure",
  "cell": [[4.202, 0.000, 0.000], [0.000, 4.202, 0.000], [0.000, 0.000, 5.832]],
  "species": ["P", "P", "B", "Ba", "Fe"],
  "fractional_positions": [[0.000, 0.500, 0.000], [0.500, 0.000, 0.000], [0.500, 0.500, 0.500], [0.000, 0.000, 0.500], [0.000, 0.000, 0.000]],
  "final_energy_ry_per_atom": -1.2065,
  "magmom_total_mub_per_fu": 2.95,
  "dos_ef_per_ev_cell": 2.95,
  "formation_energy_ev_per_atom": 0.767,
  "sg": "No. 123"
}

=====

{
  "formula": "Ba4GaB10H7O24",
  "functional": "meta-GGA SCAN",
  "state": "single point on PBEsol structure",
  "cell": [[-4.674, 3.967, 3.410], [-0.499, -0.408, 7.006], [13.397, 17.711, 3.346]],
  "species": ["Ba", "Ba", "Ba", "Ba", "Ba", "Ba", "Ba", "Ba", "Ga", "Ga", "B", "B", "B", "B", "B", "B", "B", "B", "B", "B", "B", "B", "B", "B", "B", "B", "B", "B", "B", "B", "H", "H", "H", "H", "H", "H", "H", "H", "H", "H", "H", "H", "H", "H", "O", "O", "O", "O", "O", "O", "O", "O", "O", "O", "O", "O", "O", "O", "O", "O", "O", "O", "O", "O", "O", "O", "O", "O", "O", "O", "O", "O", "O", "O", "O", "O", "O", "O", "O", "O", "O", "O", "O", "O", "O", "O", "O", "O", "O", "O", "O", "O"],
  "fractional_positions": [[0.785, 0.829, 0.074], [0.614, 0.171, 0.574], [0.115, 0.152, 0.185], [0.267, 0.848, 0.685], [0.796, 0.601, 0.437], [0.397, 0.399, 0.937], [0.406, 0.521, 0.308], [0.927, 0.479, 0.808], [0.078, 0.064, 0.958], [0.142, 0.936, 0.458], [0.289, 0.809, 0.060], [0.098, 0.191, 0.560], [0.501, 0.582, 0.145], [0.083, 0.418, 0.645], [0.335, 0.438, 0.087], [0.773, 0.562, 0.587], [0.128, 0.625, 0.187], [0.752, 0.375, 0.687], [0.733, 0.958, 0.216], [0.691, 0.042, 0.716], [0.876, 0.641, 0.282], [0.518, 0.359, 0.782], [0.813, 0.999, 0.318], [0.812, 0.001, 0.818], [0.706, 0.112, 0.428], [0.817, 0.888, 0.928], [0.319, 0.201, 0.421], [0.520, 0.799, 0.921], [0.384, 0.491, 0.458], [0.876, 0.509, 0.958], [0.690, 0.639, 0.197], [0.330, 0.361, 0.697], [0.271, 0.203, 0.050], [0.474, 0.797, 0.550], [0.552, 0.213, 0.158], [0.765, 0.787, 0.658], [0.918, 0.345, 0.323], [0.264, 0.655, 0.823], [0.146, 0.583, 0.539], [0.729, 0.417, 0.039], [0.243, 0.034, 0.338], [0.277, 0.966, 0.838], [0.440, 0.919, 0.282], [0.359, 0.081, 0.782], [0.184, 0.010, 0.033], [0.194, 0.990, 0.533], [0.413, 0.790, 0.106], [0.203, 0.210, 0.606], [0.263, 0.637, 0.044], [0.900, 0.363, 0.544], [0.541, 0.397, 0.109], [0.938, 0.603, 0.609], [0.710, 0.536, 0.165], [0.246, 0.464, 0.665], [0.386, 0.245, 0.052], [0.631, 0.755, 0.552], [0.158, 0.491, 0.135], [0.649, 0.509, 0.635], [0.330, 0.631, 0.195], [0.961, 0.369, 0.695], [0.945, 0.853, 0.178], [0.798, 0.147, 0.678], [0.076, 0.519, 0.242], [0.595, 0.481, 0.742], [0.548, 0.087, 0.182], [0.634, 0.913, 0.682], [0.687, 0.794, 0.249], [0.481, 0.206, 0.749], [0.807, 0.498, 0.316], [0.305, 0.502, 0.816], [0.745, 0.098, 0.263], [0.843, 0.902, 0.763], [0.909, 0.775, 0.326], [0.684, 0.225, 0.826], [0.770, 0.140, 0.363], [0.910, 0.860, 0.863], [0.881, 0.941, 0.459], [0.822, 0.059, 0.959], [0.531, 0.044, 0.428], [0.575, 0.956, 0.928], [0.159, 0.154, 0.408], [0.313, 0.846, 0.908], [0.615, 0.321, 0.457], [0.936, 0.679, 0.957], [0.255, 0.420, 0.424], [0.675, 0.580, 0.924], [0.374, 0.684, 0.426], [0.058, 0.316, 0.926], [0.300, 0.530, 0.522], [0.830, 0.470, 0.022], [0.277, 0.973, 0.296], [0.250, 0.027, 0.796]],
  "final_energy_ry_per_atom": -0.8560,
  "magmom_total_mub_per_fu": 0.00,
  "dos_ef_per_ev_cell": 0.00,
  "sg": "No. 9"
}

=====

{
  "formula": "Ba3Ge2B6O16",
  "functional": "meta-GGA SCAN",
  "state": "single point on PBEsol structure",
  "cell": [[5.166, 0.000, 0.000], [0.247, 7.720, 0.000], [1.905, 1.842, 8.310]],
  "species": ["Ba", "Ba", "Ba", "Ge", "Ge", "B", "B", "B", "B", "B", "B", "O", "O", "O", "O", "O", "O", "O", "O", "O", "O", "O", "O", "O", "O", "O", "O"],
  "fractional_positions": [[0.500, 0.500, 0.000], [0.382, 0.921, 0.260], [0.618, 0.079, 0.740], [0.770, 0.670, 0.558], [0.230, 0.330, 0.442], [0.190, 0.744, 0.705], [0.810, 0.256, 0.295], [0.030, 0.409, 0.753], [0.970, 0.591, 0.247], [0.962, 0.804, 0.973], [0.038, 0.196, 0.027], [0.037, 0.798, 0.575], [0.963, 0.202, 0.425], [0.790, 0.456, 0.679], [0.210, 0.544, 0.321], [0.480, 0.784, 0.626], [0.520, 0.216, 0.374], [0.230, 0.322, 0.644], [0.770, 0.678, 0.356], [0.135, 0.561, 0.795], [0.865, 0.439, 0.205], [0.697, 0.822, 0.994], [0.303, 0.178, 0.006], [0.087, 0.725, 0.098], [0.913, 0.275, 0.902], [0.132, 0.865, 0.820], [0.868, 0.135, 0.180]],
  "final_energy_ry_per_atom": -1.0180,
  "magmom_total_mub_per_fu": 0.05,
  "raw_formation_energy_kj_per_mol_fu": -7032,
  "dos_ef_per_ev_cell": 0.00,
  "sg": "No. 2"
}